(1)
# Tl3Pd2Cl9

Crystalline Tl3Pd2Cl9 at its relaxed geometry (GGA-PBE, the Alexandria database).

CIF file:
```
data_Tl3Pd2Cl9
_cell_length_a 7.0222
_cell_length_b 7.0222
_cell_length_c 8.6885
_cell_angle_alpha 90.00
_cell_angle_beta 90.00
_cell_angle_gamma 120.00
_space_group_name_H-M_alt 'P -3 m 1'
_space_group_IT_number 164
_space_group_name_Hall '-P 3 2"'
loop_
_atom_site_label
_atom_site_type_symbol
_atom_site_fract_x
_atom_site_fract_y
_atom_site_fract_z
Tl1 Tl 0.0000 0.0000 0.0000
Tl2 Tl 0.3333 0.6667 0.3579
Pd1 Pd 0.3333 0.6667 0.8347
Cl1 Cl 0.0000 0.5000 0.0000
Cl2 Cl 0.1730 0.3459 0.6796
```

Computed properties:
The calculation puts the total DFT energy (no corrections) at -3.09 eV per atom.


(2)
# TlPdCl3

Crystalline TlPdCl3 at its relaxed geometry (GGA-PBE, the Alexandria database).

CIF file:
```
data_TlPdCl3
_cell_length_a 6.695
_cell_length_b 6.789
_cell_length_c 8.017
_cell_angle_alpha 77.65
_cell_angle_beta 72.58
_cell_angle_gamma 83.61
_space_group_name_H-M_alt 'P -1'
_space_group_IT_number 2
loop_
_space_group_symop_operation_xyz
'x,y,z'
'-x,-y,-z'
loop_
_atom_site_label
_atom_site_type_symbol
_atom_site_fract_x
_atom_site_fract_y
_atom_site_fract_z
Tl1 Tl 0.233 0.274 0.485
Pd1 Pd 0.342 0.835 0.168
Cl1 Cl 0.110 0.605 0.179
Cl2 Cl 0.275 0.759 0.474
Cl3 Cl 0.414 0.929 0.858
```

Computed properties:
The value obtained for the polymorph energy (0 for the lowest one) is 0.000 eV per atom. The calculation puts the total DFT energy (no corrections) at -3.32 eV per atom.


(3)
# Tl2PdCl6

Crystalline Tl2PdCl6 at its relaxed geometry (GGA-PBE, the Alexandria database).

CIF file:
```
data_Tl2PdCl6
_cell_length_a 6.777
_cell_length_b 6.777
_cell_length_c 12.616
_cell_angle_alpha 90.00
_cell_angle_beta 90.00
_cell_angle_gamma 90.00
_space_group_name_H-M_alt 'P 42/m n m'
_space_group_IT_number 136
_space_group_name_Hall '-P 4n 2n'
loop_
_atom_site_label
_atom_site_type_symbol
_atom_site_fract_x
_atom_site_fract_y
_atom_site_fract_z
Tl1 Tl 0.000 0.000 0.158
Pd1 Pd 0.000 0.000 0.500
Cl1 Cl 0.173 0.173 0.366
Cl2 Cl 0.247 0.753 0.500
```

Computed properties:
The calculation puts the total DFT energy (no corrections) at -2.99 eV per atom.


(4)
# TlPd3Cl

Crystalline TlPd3Cl at its relaxed geometry (GGA-PBE, the Alexandria database).

CIF file:
```
data_TlPd3Cl
_cell_length_a 5.130
_cell_length_b 5.130
_cell_length_c 5.130
_cell_angle_alpha 90.00
_cell_angle_beta 90.00
_cell_angle_gamma 90.00
_space_group_name_H-M_alt 'P m -3 m'
_space_group_IT_number 221
_space_group_name_Hall '-P 4 2 3'
loop_
_atom_site_label
_atom_site_type_symbol
_atom_site_fract_x
_atom_site_fract_y
_atom_site_fract_z
Tl1 Tl 0.000 0.000 0.000
Pd1 Pd 0.000 0.000 0.500
Cl1 Cl 0.500 0.500 0.500
```

Computed properties:
The value obtained for the polymorph energy (0 for the lowest one) is 0.521 eV per atom. The calculation puts the total DFT energy (no corrections) at -3.20 eV per atom.


(5)
# TlPdCl5

Crystalline TlPdCl5 at its relaxed geometry (GGA-PBE, the Alexandria database).

CIF file:
```
data_TlPdCl5
_cell_length_a 13.512
_cell_length_b 7.007
_cell_length_c 9.442
_cell_angle_alpha 90.00
_cell_angle_beta 111.34
_cell_angle_gamma 90.00
_space_group_name_H-M_alt 'C 1 2/c 1'
_space_group_IT_number 15
loop_
_space_group_symop_operation_xyz
'x,y,z'
'-x,-y,-z'
'-x,y,-z+1/2'
'x,-y,z+1/2'
'x+1/2,y+1/2,z'
'-x+1/2,-y+1/2,-z'
'-x+1/2,y+1/2,-z+1/2'
'x+1/2,-y+1/2,z+1/2'
loop_
_atom_site_label
_atom_site_type_symbol
_atom_site_fract_x
_atom_site_fract_y
_atom_site_fract_z
Tl1 Tl 0.000 0.046 0.250
Pd1 Pd 0.000 0.500 0.000
Cl1 Cl 0.000 0.397 0.750
Cl2 Cl 0.131 0.268 0.529
Cl3 Cl 0.132 0.269 0.108
```

Computed properties:
The calculation puts the total DFT energy (no corrections) at -2.90 eV per atom.


(6)
# Tl5PdCl8

Crystalline Tl5PdCl8 at its relaxed geometry (GGA-PBE, the Alexandria database).

CIF file:
```
data_Tl5PdCl8
_cell_length_a 12.736
_cell_length_b 12.736
_cell_length_c 12.736
_cell_angle_alpha 90.00
_cell_angle_beta 90.00
_cell_angle_gamma 90.00
_space_group_name_H-M_alt 'F -4 3 m'
_space_group_IT_number 216
_space_group_name_Hall 'F -4 2 3'
loop_
_atom_site_label
_atom_site_type_symbol
_atom_site_fract_x
_atom_site_fract_y
_atom_site_fract_z
Tl1 Tl 0.000 0.000 0.000
Tl2 Tl 0.125 0.125 0.375
Pd1 Pd 0.250 0.250 0.750
Cl1 Cl 0.140 0.140 0.140
Cl2 Cl 0.143 0.143 0.643
```

Computed properties:
The value obtained for the polymorph energy (0 for the lowest one) is 0.062 eV per atom. The calculation puts the total DFT energy (no corrections) at -3.02 eV per atom.


(7)
# Tl2PdCl2

Crystalline Tl2PdCl2 at its relaxed geometry (GGA-PBE, the Alexandria database).

CIF file:
```
data_Tl2PdCl2
_cell_length_a 6.971
_cell_length_b 6.971
_cell_length_c 5.364
_cell_angle_alpha 90.00
_cell_angle_beta 90.00
_cell_angle_gamma 90.00
_space_group_name_H-M_alt 'P 4/m b m'
_space_group_IT_number 127
_space_group_name_Hall '-P 4 2ab'
loop_
_atom_site_label
_atom_site_type_symbol
_atom_site_fract_x
_atom_site_fract_y
_atom_site_fract_z
Tl1 Tl 0.175 0.325 0.000
Pd1 Pd 0.000 0.000 0.500
Cl1 Cl 0.181 0.681 0.500
```

Computed properties:
The value obtained for the polymorph energy (0 for the lowest one) is 0.130 eV per atom. The calculation puts the total DFT energy (no corrections) at -3.11 eV per atom.


(8)
# Tl4Pd3Cl10

Crystalline Tl4Pd3Cl10 at its relaxed geometry (GGA-PBE, the Alexandria database).

CIF file:
```
data_Tl4Pd3Cl10
_cell_length_a 16.387
_cell_length_b 16.387
_cell_length_c 14.227
_cell_angle_alpha 90.00
_cell_angle_beta 90.00
_cell_angle_gamma 90.00
_space_group_name_H-M_alt 'I -4 2 d'
_space_group_IT_number 122
_space_group_name_Hall 'I -4 2bw'
loop_
_atom_site_label
_atom_site_type_symbol
_atom_site_fract_x
_atom_site_fract_y
_atom_site_fract_z
Tl1 Tl 0.000 0.000 0.138
Tl2 Tl 0.048 0.744 0.898
Tl3 Tl 0.243 0.750 0.125
Pd1 Pd 0.015 0.606 0.637
Pd2 Pd 0.103 0.250 0.125
Cl1 Cl 0.040 0.750 0.125
Cl2 Cl 0.078 0.132 0.732
Cl3 Cl 0.091 0.116 0.502
Cl4 Cl 0.104 0.152 0.006
Cl5 Cl 0.111 0.119 0.276
Cl6 Cl 0.245 0.250 0.125
```

Computed properties:
The value obtained for the polymorph energy (0 for the lowest one) is 0.000 eV per atom. The calculation puts the total DFT energy (no corrections) at -3.30 eV per atom.


(9)
# TlPdCl2

Crystalline TlPdCl2 at its relaxed geometry (GGA-PBE, the Alexandria database).

CIF file:
```
data_TlPdCl2
_cell_length_a 4.6231
_cell_length_b 4.6231
_cell_length_c 24.0424
_cell_angle_alpha 90.00
_cell_angle_beta 90.00
_cell_angle_gamma 120.00
_space_group_name_H-M_alt 'R -3 m'
_space_group_IT_number 166
_space_group_name_Hall '-R 3 2"'
loop_
_atom_site_label
_atom_site_type_symbol
_atom_site_fract_x
_atom_site_fract_y
_atom_site_fract_z
Tl1 Tl 0.0000 0.0000 0.0000
Pd1 Pd 0.0000 0.0000 0.5000
Cl1 Cl 0.0000 0.0000 0.4043
```

Computed properties:
The value obtained for the polymorph energy (0 for the lowest one) is 0.045 eV per atom. The calculation puts the total DFT energy (no corrections) at -3.17 eV per atom.


(10)
# TlPdCl3

Crystalline TlPdCl3 at its relaxed geometry (GGA-PBE, the Alexandria database).

CIF file:
```
data_TlPdCl3
_cell_length_a 6.636
_cell_length_b 6.649
_cell_length_c 7.429
_cell_angle_alpha 91.13
_cell_angle_beta 90.88
_cell_angle_gamma 114.68
_space_group_name_H-M_alt 'P -1'
_space_group_IT_number 2
loop_
_space_group_symop_operation_xyz
'x,y,z'
'-x,-y,-z'
loop_
_atom_site_label
_atom_site_type_symbol
_atom_site_fract_x
_atom_site_fract_y
_atom_site_fract_z
Tl1 Tl 0.142 0.358 0.250
Pd1 Pd 0.500 0.000 0.000
Pd2 Pd 0.500 0.000 0.500
Cl1 Cl 0.137 0.809 0.390
Cl2 Cl 0.309 0.638 0.890
Cl3 Cl 0.373 0.126 0.750
```

Computed properties:
The value obtained for the polymorph energy (0 for the lowest one) is 0.000 eV per atom. The calculation puts the total DFT energy (no corrections) at -3.32 eV per atom.


(11)
# Tl6Pd3Cl14

Crystalline Tl6Pd3Cl14 at its relaxed geometry (GGA-PBE, the Alexandria database).

CIF file:
```
data_Tl6Pd3Cl14
_cell_length_a 11.0000
_cell_length_b 11.0000
_cell_length_c 7.2506
_cell_angle_alpha 90.00
_cell_angle_beta 90.00
_cell_angle_gamma 120.00
_space_group_name_H-M_alt 'P 3'
_space_group_IT_number 143
loop_
_space_group_symop_operation_xyz
'x,y,z'
'-y,x-y,z'
'-x+y,-x,z'
loop_
_atom_site_label
_atom_site_type_symbol
_atom_site_fract_x
_atom_site_fract_y
_atom_site_fract_z
Tl1 Tl 0.0509 0.2721 0.0000
Tl2 Tl 0.4717 0.4316 0.5363
Pd1 Pd 0.0000 0.0000 0.5436
Pd2 Pd 0.3333 0.6667 0.1718
Pd3 Pd 0.6667 0.3333 0.0912
Cl1 Cl 0.0000 0.0000 0.2031
Cl2 Cl 0.1350 0.6046 0.9843
Cl3 Cl 0.2052 0.4676 0.3618
Cl4 Cl 0.2065 0.1676 0.7078
Cl5 Cl 0.4523 0.2043 0.2639
Cl6 Cl 0.6667 0.3333 0.7537
```

Computed properties:
The calculation puts the total DFT energy (no corrections) at -3.07 eV per atom.


(12)
# TlPdCl2

Crystalline TlPdCl2 at its relaxed geometry (GGA-PBE, the Alexandria database).

CIF file:
```
data_TlPdCl2
_cell_length_a 7.191
_cell_length_b 7.191
_cell_length_c 7.191
_cell_angle_alpha 90.00
_cell_angle_beta 90.00
_cell_angle_gamma 90.00
_space_group_name_H-M_alt 'F m -3 m'
_space_group_IT_number 225
_space_group_name_Hall '-F 4 2 3'
loop_
_atom_site_label
_atom_site_type_symbol
_atom_site_fract_x
_atom_site_fract_y
_atom_site_fract_z
Tl1 Tl 0.000 0.000 0.000
Pd1 Pd 0.000 0.000 0.500
Cl1 Cl 0.250 0.250 0.250
```

Computed properties:
The value obtained for the polymorph energy (0 for the lowest one) is 0.245 eV per atom. The calculation puts the total DFT energy (no corrections) at -2.97 eV per atom.


(13)
# Tl3PdCl

Crystalline Tl3PdCl at its relaxed geometry (GGA-PBE, the Alexandria database).

CIF file:
```
data_Tl3PdCl
_cell_length_a 5.374
_cell_length_b 5.374
_cell_length_c 5.374
_cell_angle_alpha 90.00
_cell_angle_beta 90.00
_cell_angle_gamma 90.00
_space_group_name_H-M_alt 'P m -3 m'
_space_group_IT_number 221
_space_group_name_Hall '-P 4 2 3'
loop_
_atom_site_label
_atom_site_type_symbol
_atom_site_fract_x
_atom_site_fract_y
_atom_site_fract_z
Tl1 Tl 0.000 0.000 0.500
Pd1 Pd 0.000 0.000 0.000
Cl1 Cl 0.500 0.500 0.500
```

Computed properties:
The value obtained for the polymorph energy (0 for the lowest one) is 0.000 eV per atom. The calculation puts the total DFT energy (no corrections) at -3.23 eV per atom.


(14)
# TlPd2Cl6

Crystalline TlPd2Cl6 at its relaxed geometry (GGA-PBE, the Alexandria database).

CIF file:
```
data_TlPd2Cl6
_cell_length_a 13.915
_cell_length_b 11.531
_cell_length_c 7.473
_cell_angle_alpha 90.00
_cell_angle_beta 113.00
_cell_angle_gamma 90.00
_space_group_name_H-M_alt 'C 1 2/c 1'
_space_group_IT_number 15
loop_
_space_group_symop_operation_xyz
'x,y,z'
'-x,-y,-z'
'-x,y,-z+1/2'
'x,-y,z+1/2'
'x+1/2,y+1/2,z'
'-x+1/2,-y+1/2,-z'
'-x+1/2,y+1/2,-z+1/2'
'x+1/2,-y+1/2,z+1/2'
loop_
_atom_site_label
_atom_site_type_symbol
_atom_site_fract_x
_atom_site_fract_y
_atom_site_fract_z
Tl1 Tl 0.000 0.152 0.250
Pd1 Pd 0.227 0.496 0.321
Cl1 Cl 0.088 0.398 0.105
Cl2 Cl 0.123 0.084 0.967
Cl3 Cl 0.225 0.379 0.574
```

Computed properties:
The calculation puts the total DFT energy (no corrections) at -3.15 eV per atom.


(15)
# Tl3Pd5Cl12

Crystalline Tl3Pd5Cl12 at its relaxed geometry (GGA-PBE, the Alexandria database).

CIF file:
```
data_Tl3Pd5Cl12
_cell_length_a 16.338
_cell_length_b 16.338
_cell_length_c 16.338
_cell_angle_alpha 90.00
_cell_angle_beta 90.00
_cell_angle_gamma 90.00
_space_group_name_H-M_alt 'I a -3 d'
_space_group_IT_number 230
_space_group_name_Hall '-I 4bd 2c 3'
loop_
_atom_site_label
_atom_site_type_symbol
_atom_site_fract_x
_atom_site_fract_y
_atom_site_fract_z
Tl1 Tl 0.000 0.250 0.125
Pd1 Pd 0.000 0.000 0.000
Pd2 Pd 0.000 0.250 0.375
Cl1 Cl 0.034 0.043 0.640
```

Computed properties:
The calculation puts the total DFT energy (no corrections) at -3.25 eV per atom.


(16)
# TlPd2Cl2

Crystalline TlPd2Cl2 at its relaxed geometry (GGA-PBE, the Alexandria database).

CIF file:
```
data_TlPd2Cl2
_cell_length_a 5.125
_cell_length_b 5.125
_cell_length_c 11.361
_cell_angle_alpha 90.00
_cell_angle_beta 90.00
_cell_angle_gamma 90.00
_space_group_name_H-M_alt 'I 4/m m m'
_space_group_IT_number 139
_space_group_name_Hall '-I 4 2'
loop_
_atom_site_label
_atom_site_type_symbol
_atom_site_fract_x
_atom_site_fract_y
_atom_site_fract_z
Tl1 Tl 0.000 0.000 0.000
Pd1 Pd 0.000 0.000 0.241
Cl1 Cl 0.000 0.500 0.250
```

Computed properties:
The value obtained for the polymorph energy (0 for the lowest one) is 0.118 eV per atom. The calculation puts the total DFT energy (no corrections) at -3.44 eV per atom.


Number 1: E_form (uncorrected) -656 meV/atom. Number 2: E_form (uncorrected) -700 meV/atom. Number 3: E_form (uncorrected) -654 meV/atom. Number 4: E_form (uncorrected) 762 meV/atom. Number 5: E_form (uncorrected) -501 meV/atom. Number 6: E_form (uncorrected) -746 meV/atom. Number 7: E_form (uncorrected) -388 meV/atom. Number 8: E_form (uncorrected) -745 meV/atom. Number 9: E_form (uncorrected) -362 meV/atom. Number 10: E_form (uncorrected) -699 meV/atom. Number 11: E_form (uncorrected) -652 meV/atom. Number 12: E_form (uncorrected) -161 meV/atom. Number 13: E_form (uncorrected) -401 meV/atom. Number 14: E_form (uncorrected) -504 meV/atom. Number 15: E_form (uncorrected) -487 meV/atom. Number 16: E_form (uncorrected) -148 meV/atom.